Record 1
Here is a relaxed ErCd2B2O6 crystal from Alexandria via LeMat-Bulk. Energies are from PBE.

Cell lengths 5.1649, 5.1649, 6.9844 Å; angles 90.00, 90.00, 120.00 degrees
Space group P-3 (No. 147)
Asymmetric unit:
Er 0.0000 0.0000 0.0000 (multiplicity 1)
Cd 0.3333 0.6667 0.3324 (multiplicity 2)
B 0.3333 0.6667 0.8051 (multiplicity 2)
O 0.0836 0.7008 0.8053 (multiplicity 6)

Magnetic moment: 0.0 μB per cell
Formation energy from raw total energies: -2.154 eV per atom
ρ: 5.2 Mg/m³

Record 2
Here is a relaxed MnTl3Ni crystal from Alexandria via LeMat-Bulk. Energies are from PBE.

Cell lengths 5.171, 5.171, 5.171 Å; angles 90.00, 90.00, 90.00 degrees
Space group Pm-3m (No. 221)
Asymmetric unit:
Mn 0.000 0.000 0.000 (multiplicity 1)
Tl 0.000 0.000 0.500 (multiplicity 3)
Ni 0.500 0.500 0.500 (multiplicity 1)

Magnetic moment: 3.5 μB per cell
Uncorrected energy: -3.5375 eV per atom
ρ: 8.7 Mg/m³

Q: Among the records above, which one has the lowest magnetic moment?
A: ErCd2B2O6

Q: Number 1 is which compound?
A: ErCd2B2O6

Q: Which of these has the highest magnetic moment?
A: MnTl3Ni